# BWSe3 (SCAN, single point on PBEsol structure)
# uncorrected formation energy	1201	meV per atom
data_BWSe3
_chemical_formula_sum 'B1 W1 Se3'
_space_group_name_H-M_alt 'P 1'
_space_group_IT_number 1
_cell_length_a 4.868
_cell_length_b 4.868
_cell_length_c 4.868
_cell_angle_alpha 90.00
_cell_angle_beta 90.00
_cell_angle_gamma 90.00
loop_
_space_group_symop_operation_xyz
'x,y,z'
loop_
_atom_site_label
_atom_site_fract_x
_atom_site_fract_y
_atom_site_fract_z
_atom_site_occupancy
B1 0.000 0.000 0.000 1
W1 0.500 0.500 0.500 1
Se1 0.000 0.500 0.500 1
Se2 0.500 0.000 0.500 1
Se3 0.500 0.500 0.000 1